Entry from the Alexandria database: an optimized crystal structure of V6Co6Ge (PBE-GGA).

Its total energy is -7.952 eV/atom. The calculation puts the spin magnetization at 0.00 μB/cell. The calculation puts the formation energy at -0.109 eV/atom. Its density of states at the Fermi level is 13.372 states/eV/cell.

It has space group P6/mmm (No. 191), with a = 4.6966 Å, b = 4.6966 Å, c = 8.3776 Å, α = 90.00°, β = 90.00° and γ = 120.00°. The distinct sites, in fractional coordinates, are V at (0.0000, 0.0000, 0.1468), V at (0.3333, 0.6667, 0.0000), V at (0.3333, 0.6667, 0.5000), Co at (0.0000, 0.5000, 0.2546) and Ge at (0.0000, 0.0000, 0.5000).

Entry from the Alexandria database: an optimized crystal structure of SrMnSe2Br (PBE-GGA).

Its total energy is -3.863 eV/atom. The calculation puts the spin magnetization at 4.26 μB/cell. Its energy above the lowest structure with this stoichiometry is 1034 meV/atom. Its density of states at the Fermi level is 4.590 states/eV/cell.

It has space group P4/mmm (No. 123), with a = 5.8232 Å, b = 5.8232 Å, c = 5.6855 Å, α = 90.00°, β = 90.00° and γ = 90.00°. The distinct sites, in fractional coordinates, are Sr at (0.0000, 0.0000, 0.0000), Mn at (0.5000, 0.5000, 0.5000), Se at (0.0000, 0.5000, 0.0000) and Br at (0.0000, 0.0000, 0.5000).

Look up the total energy of the second one.
-3.863 eV/atom

The highest total energy belongs to which entry?
SrMnSe2Br